(1)
Ba2CaRh: optimized geometry, GGA-PBEsol.

* V: 157.6 Å³ per cell
* M_tot: 0.000 μB per formula unit
* DOS at the Fermi energy: 2.96 states/eV/f.u.

a b c (Å): 5.5774 5.5774 8.0636
angles (deg): 108.77 108.77 42.03
Positions (direct):
Ba 0.0000 0.0000 0.0000
Ba 0.1567 0.1567 0.5904
Ca 0.3437 0.3437 0.2973
Rh 0.6284 0.6284 0.2963

***

(2)
Ba2CaRh: optimized geometry, GGA-PBEsol.

* V: 119.1 Å³ per cell
* M_tot: 0.000 μB per formula unit
* DOS at the Fermi energy: 3.84 states/eV/f.u.

a b c (Å): 5.5252 5.5252 5.5252
angles (deg): 120.07 120.07 89.88
Positions (direct):
Ba 0.0000 0.0000 0.0000
Ba 0.7500 0.2500 0.5000
Ca 0.5000 0.5000 0.0000
Rh 0.2500 0.7500 0.5000

***

Which structure is the least stable? The one labeled (2).

***

(1)
Tc2Ir: optimized geometry, GGA-PBEsol.

* V: 83.4 Å³ per cell
* M_tot: 0.000 μB per formula unit
* DOS at the Fermi energy: 2.24 states/eV/f.u.

a b c (Å): 5.1118 5.1118 6.4131
angles (deg): 103.27 103.27 30.83
Positions (direct):
Tc 0.0000 0.0000 0.0000
Tc 0.0565 0.0565 0.6134
Tc 0.3879 0.3879 0.2780
Tc 0.7237 0.7237 0.9460
Ir 0.3348 0.3348 0.6710
Ir 0.6656 0.6656 0.3312

***

(2)
Tc2Ir: optimized geometry, GGA-PBEsol.

* V: 83.6 Å³ per cell
* M_tot: 0.000 μB per formula unit
* DOS at the Fermi energy: 2.63 states/eV/f.u.

a b c (Å): 7.2450 7.2450 4.3163
angles (deg): 90.00 90.00 158.35
Positions (direct):
Tc 0.0544 0.9456 0.7500
Tc 0.3890 0.6110 0.7500
Tc 0.6110 0.3890 0.2500
Tc 0.9456 0.0544 0.2500
Ir 0.2776 0.7224 0.2500
Ir 0.7224 0.2776 0.7500

***

Which structure is the least stable? The one labeled (2).

***

(1)
ZrSc2Fe: optimized geometry, GGA-PBEsol.

* V: 73.4 Å³ per cell
* M_tot: 0.039 μB per formula unit
* DOS at the Fermi energy: 4.69 states/eV/f.u.

a b c (Å): 3.1590 4.2644 5.6599
angles (deg): 90.00 105.84 90.00
Positions (direct):
Zr 0.0000 0.0000 0.0000
Sc 0.3864 0.5000 0.7218
Sc 0.6136 0.5000 0.2782
Fe 0.0000 0.0000 0.5000

***

(2)
ZrSc2Fe: optimized geometry, GGA-PBEsol.

* V: 75.1 Å³ per cell
* M_tot: 0.001 μB per formula unit
* DOS at the Fermi energy: 3.50 states/eV/f.u.

a b c (Å): 5.6038 5.6038 5.6038
angles (deg): 146.43 128.76 62.67
Positions (direct):
Zr 0.0000 0.0000 0.0000
Sc 0.4024 0.4024 0.0000
Sc 0.7011 0.2011 0.5000
Fe 0.1951 0.6951 0.5000

***

Which structure is the least stable? The one labeled (1).

***

(1)
Li2CuPO4: optimized geometry, GGA-PBEsol.

* V: 254.4 Å³ per cell
* M_tot: 0.000 μB per formula unit
* DOS at the Fermi energy: 0.00 states/eV/f.u.

a b c (Å): 4.9763 4.9763 11.8607
angles (deg): 90.00 90.00 120.00
Positions (direct):
Li 0.0928 0.4354 0.4183
Li 0.3426 0.9072 0.0850
Li 0.4354 0.0928 0.5817
Li 0.5646 0.6574 0.7516
Li 0.6574 0.5646 0.2484
Li 0.9072 0.3426 0.9150
Cu 0.0000 0.2358 0.6667
Cu 0.2358 0.0000 0.3333
Cu 0.7642 0.7642 0.0000
P 0.0000 0.2412 0.1667
P 0.2412 0.0000 0.8333
P 0.7588 0.7588 0.5000
O 0.0792 0.4544 0.0640
O 0.0936 0.8099 0.4734
O 0.1901 0.2837 0.8068
O 0.2837 0.1901 0.1932
O 0.3752 0.9208 0.7307
O 0.4544 0.0792 0.9360
O 0.5456 0.6248 0.3974
O 0.6248 0.5456 0.6026
O 0.7163 0.9064 0.1401
O 0.8099 0.0936 0.5266
O 0.9064 0.7163 0.8599
O 0.9208 0.3752 0.2693

***

(2)
Li2CuPO4: optimized geometry, GGA-PBEsol.

* V: 159.9 Å³ per cell
* M_tot: 0.030 μB per formula unit

a b c (Å): 6.1324 5.2309 4.9853
angles (deg): 90.00 90.00 90.00
Positions (direct):
Li 0.2496 0.1753 0.0000
Li 0.2504 0.8247 0.5000
Li 0.7504 0.1753 0.0000
Li 0.7496 0.8247 0.5000
Cu 0.0000 0.3095 0.5000
Cu 0.5000 0.6905 0.0000
P 0.0000 0.6768 0.9960
P 0.5000 0.3232 0.4960
O 0.0000 0.3935 0.0885
O 0.0000 0.6921 0.6863
O 0.2044 0.8182 0.1090
O 0.2956 0.1818 0.6090
O 0.5000 0.3079 0.1863
O 0.5000 0.6065 0.5885
O 0.7044 0.1818 0.6090
O 0.7956 0.8182 0.1090

***

Which structure is the least stable? The one labeled (1).